[1]
SrSc2Au2: relaxed, PBE.

Lattice parameters (Å, degrees): 8.3849 8.3849 3.2475 90.00 90.00 90.00
With the nearest neighbours (Å) after each atom.
Atoms (fractional coordinates):
Sc1 0.3643 0.8643 0.0000  6 Au 2.94-2.95, 3 Sc 3.22-3.25, 2 Sr 3.26
Sc2 0.8643 0.6357 0.0000  6 Au 2.94-2.95, 3 Sc 3.22-3.25, 2 Sr 3.26
Sc3 0.6357 0.1357 0.0000  6 Au 2.94-2.95, 3 Sc 3.22-3.25, 2 Sr 3.26
Sc4 0.1357 0.3643 0.0000  6 Au 2.94-2.95, 3 Sc 3.22-3.25, 2 Sr 3.26
Sr1 0.0000 0.0000 0.0000  2 Sr 3.25, 4 Sc 3.26, 8 Au 3.55
Sr2 0.5000 0.5000 0.0000  2 Sr 3.25, 4 Sc 3.26, 8 Au 3.55
Au1 0.1578 0.6578 0.5000  6 Sc 2.94-2.95, 2 Au 3.25
Au2 0.6578 0.8422 0.5000  6 Sc 2.94-2.95, 2 Au 3.25
Au3 0.8422 0.3422 0.5000  6 Sc 2.94-2.95, 2 Au 3.25
Au4 0.3422 0.1578 0.5000  6 Sc 2.94-2.95, 2 Au 3.25

Calculated formation energy in kJ/mol of formula units: -260
Crystal system: tetragonal
DOS(E_F) in states/eV/cell: 5.5
Symmetry: P4/mbm

---

[2]
Pr8Er3Th: relaxed, PBE.

Lattice parameters (Å, degrees): 8.7052 8.7052 11.0780 50.49 129.51 137.10
With the nearest neighbours (Å) after each atom.
Atoms (fractional coordinates):
Pr1 0.8383 0.3386 0.5879  4 Er 3.58-3.75, 7 Pr 3.59-3.73, 1 Th 3.63
Pr2 0.8385 0.3389 0.9117  4 Er 3.58-3.74, 7 Pr 3.59-3.73, 1 Th 3.63
Pr3 0.7431 0.7430 0.8342  4 Er 3.63-3.72, 7 Pr 3.65-3.75, 1 Th 3.70
Pr4 0.7430 0.7431 0.1658  4 Er 3.63-3.72, 7 Pr 3.65-3.75, 1 Th 3.70
Pr5 0.2489 0.2488 0.3399  7 Pr 3.55-3.75, 2 Th 3.58-3.71, 3 Er 3.62-3.76
Pr6 0.2488 0.2489 0.6601  7 Pr 3.55-3.75, 2 Th 3.58-3.71, 3 Er 3.62-3.76
Pr7 0.3389 0.8385 0.0883  4 Er 3.58-3.74, 7 Pr 3.59-3.73, 1 Th 3.63
Pr8 0.3386 0.8383 0.4121  4 Er 3.58-3.75, 7 Pr 3.59-3.73, 1 Th 3.63
Er1 0.8252 0.3252 0.2498  1 Th 3.57, 10 Pr 3.58-3.75, 1 Er 3.61
Er2 0.2511 0.2511 0.0000  2 Er 3.61, 10 Pr 3.61-3.76
Er3 0.3252 0.8252 0.7502  1 Th 3.57, 10 Pr 3.58-3.75, 1 Er 3.61
Th1 0.7605 0.7605 0.5000  2 Er 3.57, 10 Pr 3.58-3.71

Calculated formation energy in kJ/mol of formula units: 53
Crystal system: orthorhombic
DOS(E_F) in states/eV/cell: 20.8
Symmetry: Imm2

---

[3]
Ba2HgBi2: relaxed, PBE.

Lattice parameters (Å, degrees): 8.9752 8.9752 4.9951 90.00 90.00 90.00
With the nearest neighbours (Å) after each atom.
Atoms (fractional coordinates):
Ba1 0.1783 0.6783 0.5000  6 Bi 3.58-3.70
Ba2 0.6783 0.8217 0.5000  6 Bi 3.58-3.70
Ba3 0.8217 0.3217 0.5000  6 Bi 3.58-3.70
Ba4 0.3217 0.1783 0.5000  6 Bi 3.58-3.70
Bi1 0.3803 0.8803 0.0000  1 Bi 3.04
Bi2 0.8803 0.6197 0.0000  1 Bi 3.04
Bi3 0.6197 0.1197 0.0000  1 Bi 3.04
Bi4 0.1197 0.3803 0.0000  1 Bi 3.04
Hg1 0.0000 0.0000 0.0000  4 Bi 3.58
Hg2 0.5000 0.5000 0.0000  4 Bi 3.58

Calculated formation energy in kJ/mol of formula units: -326
Crystal system: tetragonal
DOS(E_F) in states/eV/cell: 4.2
Symmetry: P4/mbm

---

[4]
MgHIr2Pt: relaxed, PBE.

Lattice parameters (Å, degrees): 3.9106 3.9106 4.0835 90.00 90.00 90.00
With the nearest neighbours (Å) after each atom.
Atoms (fractional coordinates):
H1 0.0000 0.0000 0.0000  4 Ir 1.96, 2 Mg 2.04
Mg1 0.0000 0.0000 0.5000  2 H 2.04
Ir1 0.0000 0.5000 0.0000  2 H 1.96
Ir2 0.5000 0.0000 0.0000  2 H 1.96
Pt1 0.5000 0.5000 0.5000  4 Mg 2.77, 8 Ir 2.83

Crystal system: tetragonal
DOS(E_F) in states/eV/cell: 3.1
Symmetry: P4/mmm
Calculated total energy in eV per atom: -5.94

---

[5]
Ni2PdWSe: relaxed, PBE.

Lattice parameters (Å, degrees): 4.2160 4.2160 4.5853 90.00 90.00 90.00
With the nearest neighbours (Å) after each atom.
Atoms (fractional coordinates):
Ni1 0.0000 0.5000 0.0000  2 Se 2.11
Ni2 0.5000 0.0000 0.0000  2 Se 2.11
Se1 0.0000 0.0000 0.0000  4 Ni 2.11, 2 Pd 2.29
Pd1 0.0000 0.0000 0.5000  2 Se 2.29
W1 0.5000 0.5000 0.5000  4 Pd 2.98, 8 Ni 3.11

Energy relative to the elements, uncorrected in eV/atom: 1.0293
Crystal system: tetragonal
DOS(E_F) in states/eV/cell: 3.4
Symmetry: P4/mmm

---

[6]
YAsS2: relaxed, PBE.

Lattice parameters (Å, degrees): 8.4045 8.4045 8.4045 26.52 26.52 26.52
With the nearest neighbours (Å) after each atom.
Atoms (fractional coordinates):
Y1 0.5000 0.5000 0.5000  6 S 2.71
As1 0.0000 0.0000 0.0000  2 S 2.50
S1 0.8971 0.8971 0.8971  1 As 2.50, 3 Y 2.71
S2 0.1029 0.1029 0.1029  1 As 2.50, 3 Y 2.71

Energy relative to the elements, uncorrected in eV/atom: -0.9629
Crystal system: trigonal
DOS(E_F) in states/eV/cell: 1.1
Symmetry: R-3m